## MgCdS2 (PBE-GGA)

Data for crystalline MgCdS2 at its relaxed geometry.

Lattice parameters (Å, degrees): 13.632 4.110 7.102 90.00 100.08 90.00
Space group Cm (No. 8)
Asymmetric unit:
Mg 0.000 0.000 0.000
Mg 0.247 0.500 0.246
Cd 0.250 0.000 0.750
Cd 0.496 0.000 0.490
S 0.059 0.000 0.691
S 0.063 0.500 0.174
S 0.305 0.000 0.423
S 0.317 0.500 0.948

The calculation puts the total energy at -0.273 Ry per atom. The energy relative to the elements, uncorrected is -1.027 eV/atom.